Below is Y2Sc at its PBEsol-relaxed geometry, with properties calculated at the SCAN level.

Lattice parameters (Å, degrees): 3.4237 4.7883 10.2403 90.00 90.00 90.00
Closest atoms and distances in Å follow each position.
Positions (direct):
Y  0.0000  0.0000  0.1635  7 Y 3.35-3.44, 5 Sc 3.39-3.45
Y  0.0000  0.0000  0.8365  7 Y 3.35-3.44, 5 Sc 3.39-3.45
Y  0.5000  0.5000  0.3365  7 Y 3.35-3.44, 5 Sc 3.39-3.45
Y  0.5000  0.5000  0.6635  7 Y 3.35-3.44, 5 Sc 3.39-3.45
Sc  0.0000  0.0000  0.5000  10 Y 3.39-3.45, 2 Sc 3.42
Sc  0.5000  0.5000  0.0000  10 Y 3.39-3.45, 2 Sc 3.42

Properties
- Magnetization: 0.00 μB per cell
- ΔH_f (0 K): 0.09 eV per atom
- SG: No. 71
- Polymorph energy (0 for the lowest one): 0.061 eV/atom
- Calculated density: 4.41 g/cm3

Below is YSc at its PBEsol-relaxed geometry, with properties calculated at the SCAN level.

Lattice parameters (Å, degrees): 4.7559 4.7559 9.4885 90.00 90.00 90.00
Closest atoms and distances in Å follow each position.
Positions (direct):
Y  0.0000  0.2500  0.3750  8 Sc 3.36, 4 Y 3.36
Y  0.0000  0.7500  0.6250  8 Sc 3.36, 4 Y 3.36
Y  0.5000  0.2500  0.1250  8 Sc 3.36, 4 Y 3.36
Y  0.5000  0.7500  0.8750  8 Sc 3.36, 4 Y 3.36
Sc  0.0000  0.2500  0.8750  4 Sc 3.36, 8 Y 3.36
Sc  0.0000  0.7500  0.1250  4 Sc 3.36, 8 Y 3.36
Sc  0.5000  0.2500  0.6250  8 Y 3.36, 4 Sc 3.36
Sc  0.5000  0.7500  0.3750  8 Y 3.36, 4 Sc 3.36

Properties
- Magnetization: 0.00 μB per cell
- ΔH_f (0 K): 0.10 eV per atom
- SG: No. 141
- Polymorph energy (0 for the lowest one): 0.080 eV/atom
- Calculated density: 4.14 g/cm3

Below is YSc7 at its PBEsol-relaxed geometry, with properties calculated at the SCAN level.

Lattice parameters (Å, degrees): 6.4959 6.4959 6.4959 60.00 60.00 60.00
Closest atoms and distances in Å follow each position.
Positions (direct):
Y  0.0000  0.0000  0.0000  12 Sc 3.25
Sc  0.0000  0.0000  0.5000  10 Sc 3.25, 2 Y 3.25
Sc  0.0000  0.5000  0.0000  10 Sc 3.25, 2 Y 3.25
Sc  0.0000  0.5000  0.5000  10 Sc 3.25, 2 Y 3.25
Sc  0.5000  0.0000  0.0000  10 Sc 3.25, 2 Y 3.25
Sc  0.5000  0.0000  0.5000  10 Sc 3.25, 2 Y 3.25
Sc  0.5000  0.5000  0.0000  10 Sc 3.25, 2 Y 3.25
Sc  0.5000  0.5000  0.5000  12 Sc 3.25

Properties
- Magnetization: 0.00 μB per cell
- ΔH_f (0 K): 0.10 eV per atom
- SG: No. 225
- Calculated density: 3.46 g/cm3

Below is Y5Sc at its PBEsol-relaxed geometry, with properties calculated at the SCAN level.

Lattice parameters (Å, degrees): 12.5687 3.5380 8.2113 90.00 102.83 90.00
Closest atoms and distances in Å follow each position.
Positions (direct):
Y  0.0000  0.0000  0.0000  10 Y 3.35-3.60, 2 Sc 3.53
Y  0.0514  0.0000  0.6169  9 Y 3.35-3.54, 3 Sc 3.37-3.47
Y  0.1688  0.5000  0.3438  10 Y 3.41-3.60, 2 Sc 3.47
Y  0.2258  0.5000  0.9400  2 Sc 3.36, 10 Y 3.37-3.56
Y  0.3883  0.0000  0.2825  1 Sc 3.39, 11 Y 3.41-3.56
Y  0.5000  0.5000  0.0000  10 Y 3.35-3.60, 2 Sc 3.53
Y  0.5514  0.5000  0.6169  9 Y 3.35-3.54, 3 Sc 3.37-3.47
Y  0.6688  0.0000  0.3438  10 Y 3.41-3.60, 2 Sc 3.47
Y  0.7258  0.0000  0.9400  2 Sc 3.36, 10 Y 3.37-3.56
Y  0.8883  0.5000  0.2825  1 Sc 3.39, 11 Y 3.41-3.56
Sc  0.3328  0.0000  0.6679  10 Y 3.36-3.53, 2 Sc 3.54
Sc  0.8328  0.5000  0.6679  10 Y 3.36-3.53, 2 Sc 3.54

Properties
- Magnetization: 0.10 μB per cell
- ΔH_f (0 K): 0.02 eV per atom
- SG: No. 8
- Calculated density: 4.57 g/cm3

Below is YSc5 at its PBEsol-relaxed geometry, with properties calculated at the SCAN level.

Lattice parameters (Å, degrees): 5.1584 3.3237 17.2709 90.00 90.00 90.00
Closest atoms and distances in Å follow each position.
Positions (direct):
Y  0.0000  0.0000  0.0000  10 Sc 3.23-3.38, 2 Y 3.32
Y  0.0000  0.5000  0.5000  10 Sc 3.23-3.38, 2 Y 3.32
Sc  0.0000  0.0000  0.3294  10 Sc 3.18-3.32, 2 Y 3.38
Sc  0.0000  0.0000  0.6690  10 Sc 3.20-3.32, 2 Y 3.36
Sc  0.0000  0.5000  0.1690  10 Sc 3.20-3.32, 2 Y 3.36
Sc  0.0000  0.5000  0.8294  10 Sc 3.18-3.32, 2 Y 3.38
Sc  0.5000  0.0000  0.2222  12 Sc 3.18-3.32
Sc  0.5000  0.0000  0.5579  8 Sc 3.21-3.42, 4 Y 3.23
Sc  0.5000  0.0000  0.8850  10 Sc 3.21-3.42, 2 Y 3.25
Sc  0.5000  0.5000  0.0579  8 Sc 3.21-3.42, 4 Y 3.23
Sc  0.5000  0.5000  0.3850  10 Sc 3.21-3.42, 2 Y 3.25
Sc  0.5000  0.5000  0.7222  12 Sc 3.18-3.32

Properties
- Magnetization: 6.02 μB per cell
- ΔH_f (0 K): 0.02 eV per atom
- SG: No. 38
- Polymorph energy (0 for the lowest one): 0.003 eV/atom
- Calculated density: 3.52 g/cm3

Below is Y3Sc5 at its PBEsol-relaxed geometry, with properties calculated at the SCAN level.

Lattice parameters (Å, degrees): 9.2929 9.4666 4.7157 90.00 90.00 90.00
Closest atoms and distances in Å follow each position.
Positions (direct):
Y  0.0000  0.0000  0.0000  8 Sc 3.32-3.33, 4 Y 3.37
Y  0.0000  0.2548  0.5000  10 Sc 3.27-3.37, 2 Y 3.37
Y  0.0000  0.7452  0.5000  10 Sc 3.27-3.37, 2 Y 3.37
Y  0.5000  0.2452  0.5000  10 Sc 3.27-3.37, 2 Y 3.37
Y  0.5000  0.5000  0.0000  8 Sc 3.32-3.33, 4 Y 3.37
Y  0.5000  0.7548  0.5000  10 Sc 3.27-3.37, 2 Y 3.37
Sc  0.0000  0.5000  0.0000  8 Sc 3.29-3.32, 4 Y 3.31
Sc  0.2473  0.5000  0.5000  6 Y 3.27-3.37, 6 Sc 3.29-3.34
Sc  0.2500  0.2500  0.0000  6 Y 3.31-3.32, 6 Sc 3.32-3.34
Sc  0.2500  0.7500  0.0000  6 Y 3.31-3.32, 6 Sc 3.32-3.34
Sc  0.2527  0.0000  0.5000  6 Y 3.27-3.37, 6 Sc 3.29-3.34
Sc  0.5000  0.0000  0.0000  8 Sc 3.29-3.32, 4 Y 3.31
Sc  0.7473  0.0000  0.5000  6 Y 3.27-3.37, 6 Sc 3.29-3.34
Sc  0.7500  0.2500  0.0000  6 Y 3.31-3.32, 6 Sc 3.32-3.34
Sc  0.7500  0.7500  0.0000  6 Y 3.31-3.32, 6 Sc 3.32-3.34
Sc  0.7527  0.5000  0.5000  6 Y 3.27-3.37, 6 Sc 3.29-3.34

Properties
- Magnetization: 0.00 μB per cell
- ΔH_f (0 K): 0.10 eV per atom
- SG: No. 65
- Calculated density: 3.93 g/cm3